Rb2CeCoS4 (PBE-GGA, relaxed); raw formation energy = -1.04 eV/atom
1.0
6.950 -0.046 -0.071
-3.003 6.268 0.071
-3.003 -2.458 5.766
Rb S Co Ce
2 4 1 1
direct
0.500 0.750 0.250
0.000 0.000 0.000
0.623 0.388 0.464
0.923 0.536 0.159
0.077 0.236 0.612
0.377 0.841 0.764
0.000 0.500 0.500
0.500 0.250 0.750